No. 1
Na3MoCl | the Alexandria database | PBE | optimized geometry; energy above the lowest structure with this stoichiometry = 466 meV/atom
1.0
6.083 0.000 0.000
0.000 6.083 0.000
0.000 0.000 6.083
Na Mo Cl
3 1 1
Direct
0.000 0.000 0.500 Na
0.000 0.500 0.000 Na
0.500 0.000 0.000 Na
0.000 0.000 0.000 Mo
0.500 0.500 0.500 Cl

---

No. 2
Tb3HoS6 | the Alexandria database | PBE | optimized geometry; VASP energy = -63.9 eV/f.u.
1.0
5.750 3.320 4.554
-5.750 3.320 4.554
0.000 -6.640 4.554
Tb Ho S
6 2 12
Direct
0.067 0.576 0.748 Tb
0.252 0.933 0.424 Tb
0.424 0.252 0.933 Tb
0.576 0.748 0.067 Tb
0.748 0.067 0.576 Tb
0.933 0.424 0.252 Tb
0.000 0.000 0.000 Ho
0.500 0.500 0.500 Ho
0.036 0.906 0.682 S
0.094 0.318 0.964 S
0.186 0.590 0.419 S
0.318 0.964 0.094 S
0.410 0.581 0.814 S
0.419 0.186 0.590 S
0.581 0.814 0.410 S
0.590 0.419 0.186 S
0.682 0.036 0.906 S
0.814 0.410 0.581 S
0.906 0.682 0.036 S
0.964 0.094 0.318 S

---

No. 3
AcPrZnPb | the Alexandria database | PBE | optimized geometry; energy of formation from the pure elements = -360.3 meV/atom
1.0
0.000 3.960 3.960
3.960 0.000 3.960
3.960 3.960 0.000
Ac Pr Zn Pb
1 1 1 1
Direct
0.000 0.000 0.000 Ac
0.500 0.500 0.500 Pr
0.750 0.750 0.750 Zn
0.250 0.250 0.250 Pb

---

No. 4
Tl2PAu | the Alexandria database | PBE | optimized geometry; energy above the lowest structure with this stoichiometry = 232 meV/atom; energy of formation from the pure elements = 196.8 meV/atom
1.0
3.567 -2.051 0.000
3.567 2.051 0.000
-2.332 0.000 6.701
Tl P Au
2 1 1
Direct
0.244 0.244 0.232 Tl
0.756 0.756 0.768 Tl
0.500 0.500 0.000 P
0.000 0.000 0.500 Au

---

No. 5
Cd2Au3 | the Alexandria database | PBE | optimized geometry; energy of formation from the pure elements = -14.4 meV/atom
1.0
1.515 0.875 12.340
-1.515 0.875 12.340
0.000 -1.749 12.340
Cd Au
2 3
Direct
0.205 0.205 0.205 Cd
0.795 0.795 0.795 Cd
0.000 0.000 0.000 Au
0.396 0.396 0.396 Au
0.604 0.604 0.604 Au

---

No. 6
Mo3Ru | the Alexandria database | PBE | optimized geometry; energy of formation from the pure elements = 110.1 meV/atom
1.0
-1.569 2.235 4.407
1.569 -2.235 4.407
1.569 2.235 -4.407
Mo Ru
3 1
Direct
0.000 0.000 0.000 Mo
0.240 0.740 0.500 Mo
0.760 0.260 0.500 Mo
0.500 0.500 0.000 Ru